KLaCd2Ru | PBE | optimized geometry

Unit cell a=5.525 b=5.525 c=5.058 alpha=90.00 beta=90.00 gamma=90.00
Atoms (fractional coordinates):
K 0.000 0.000 0.000
La 0.500 0.500 0.000
Cd 0.000 0.500 0.500
Cd 0.500 0.000 0.500
Ru 0.500 0.500 0.500

Calculated values
- theoretical density (Mg/m³) = 5.42
- spin magnetization (μB per formula unit) = 0.00
- calculated total energy (eV per atom) = -3.5099

=====

NdHo3Te2 | PBE | optimized geometry

Unit cell a=8.509 b=8.509 c=11.361 alpha=108.77 beta=108.77 gamma=28.13
Atoms (fractional coordinates):
Nd 0.119 0.119 0.043
Nd 0.881 0.881 0.957
Ho 0.061 0.061 0.405
Ho 0.283 0.283 0.622
Ho 0.377 0.377 0.334
Ho 0.623 0.623 0.666
Ho 0.717 0.717 0.378
Ho 0.939 0.939 0.595
Te 0.229 0.229 0.855
Te 0.483 0.483 0.827
Te 0.517 0.517 0.173
Te 0.771 0.771 0.145

Calculated values
- theoretical density (Mg/m³) = 8.12
- formation energy from raw total energies (meV per atom) = -849
- spin magnetization (μB per formula unit) = 0.00